1.
DFT (PBE-GGA) results for NiMo4Pb after structural relaxation.

Structure (POSCAR):
```
NiMo4Pb
1.0
-5.176 -1.020 -0.418
-3.384 3.909 -1.130
-2.357 0.173 -4.735
Ni Mo Pb
1 4 1
direct
0.750 0.750 0.750
0.870 0.377 0.377
0.377 0.377 0.870
0.377 0.870 0.377
0.377 0.377 0.377
0.000 0.000 0.000
```

* D(E_F): 1.15 states/eV per atom
* DFT total energy: -48.82 eV for the cell shown

---

2.
DFT (PBE-GGA) results for Ni2AsPt after structural relaxation.

Structure (POSCAR):
```
Ni2AsPt
1.0
-6.017 -5.246 -0.528
-4.739 -6.189 1.801
-6.596 -4.076 1.970
As Ni Pt
1 2 1
direct
0.750 0.750 0.750
0.007 0.007 0.007
0.493 0.493 0.493
0.250 0.250 0.250
```

* D(E_F): 0.80 states/eV per atom
* DFT total energy: -22.53 eV for the cell shown

---

3.
DFT (PBE-GGA) results for PmLuPt after structural relaxation.

Structure (POSCAR):
```
PmLuPt
1.0
-4.764 0.739 -0.767
-3.153 -3.694 0.491
-3.116 -0.067 3.757
Lu Pt Pm
1 1 1
direct
0.500 0.500 0.500
0.250 0.250 0.250
0.000 0.000 0.000
```

* D(E_F): 0.65 states/eV per atom
* DFT total energy: -17.83 eV for the cell shown

---

4.
DFT (PBE-GGA) results for PrSm6Y2Ho after structural relaxation.

Structure (POSCAR):
```
PrSm6Y2Ho
1.0
-6.940 2.120 -6.163
-5.746 -1.365 6.687
3.568 8.160 -0.526
Pr Sm Y Ho
2 12 4 2
direct
0.250 0.964 0.036
0.750 0.036 0.964
0.058 0.114 0.761
0.442 0.239 0.886
0.942 0.886 0.239
0.558 0.761 0.114
0.316 0.995 0.445
0.184 0.555 0.005
0.684 0.005 0.555
0.816 0.445 0.995
0.115 0.707 0.476
0.385 0.524 0.293
0.885 0.293 0.524
0.615 0.476 0.707
0.448 0.795 0.699
0.052 0.301 0.205
0.552 0.205 0.301
0.948 0.699 0.795
0.250 0.411 0.589
0.750 0.589 0.411
```

* D(E_F): 1.47 states/eV per atom
* DFT total energy: -98.82 eV for the cell shown

---

5.
DFT (PBE-GGA) results for LiTc2Au after structural relaxation.

Structure (POSCAR):
```
LiTc2Au
1.0
-0.354 -1.648 -1.999
2.388 -0.649 0.844
-3.718 -6.190 5.760
Au Li Tc
1 1 2
direct
0.500 0.500 0.250
0.500 0.500 0.750
0.000 0.000 0.994
0.000 0.000 0.506
```

* D(E_F): 1.02 states/eV per atom
* DFT total energy: -24.19 eV for the cell shown

---

6.
DFT (PBE-GGA) results for Cs4Rb16Hg3 after structural relaxation.

Structure (POSCAR):
```
Cs4Rb16Hg3
1.0
9.731 0.000 0.000
0.000 9.731 0.000
0.000 0.000 19.699
Cs Rb Hg
4 16 3
direct
0.500 0.000 0.805
0.000 0.500 0.195
0.000 0.500 0.805
0.500 0.000 0.195
0.000 0.000 0.812
0.261 0.261 0.000
0.500 0.500 0.802
0.739 0.261 0.000
0.500 0.500 0.198
0.739 0.739 0.000
0.000 0.000 0.188
0.751 0.751 0.608
0.751 0.249 0.392
0.249 0.249 0.608
0.249 0.751 0.392
0.261 0.739 0.000
0.751 0.751 0.392
0.751 0.249 0.608
0.249 0.249 0.392
0.249 0.751 0.608
0.000 0.500 0.500
0.000 0.000 0.000
0.500 0.000 0.500
```

* D(E_F): 0.84 states/eV per atom
* DFT total energy: -20.73 eV for the cell shown

---

7.
DFT (PBE-GGA) results for NdSi2Pt3 after structural relaxation.

Structure (POSCAR):
```
NdSi2Pt3
1.0
3.960 0.000 1.090
0.948 7.252 4.294
-0.025 0.638 7.828
Nd Si Pt
2 4 6
direct
0.843 0.079 0.234
0.157 0.921 0.766
0.485 0.166 0.863
0.515 0.834 0.137
0.821 0.652 0.706
0.179 0.348 0.294
0.320 0.419 0.940
0.967 0.344 0.722
0.615 0.274 0.496
0.385 0.726 0.504
0.033 0.656 0.278
0.680 0.581 0.060
```

* D(E_F): 0.48 states/eV per atom
* DFT total energy: -79.18 eV for the cell shown
* formation energy without anion corrections: -0.98 eV/atom

---

8.
DFT (PBE-GGA) results for La3DyHo2 after structural relaxation.

Structure (POSCAR):
```
La3DyHo2
1.0
0.404 -5.240 -3.921
4.075 -3.392 4.952
-9.520 0.981 3.191
La Dy Ho
6 2 4
direct
0.782 0.750 0.000
0.218 0.250 0.000
0.811 0.071 0.641
0.170 0.429 0.359
0.830 0.571 0.641
0.189 0.929 0.359
0.719 0.250 0.000
0.281 0.750 0.000
0.355 0.355 0.711
0.355 0.855 0.711
0.645 0.145 0.289
0.645 0.645 0.289
```

* D(E_F): 1.89 states/eV per atom
* DFT total energy: -55.47 eV for the cell shown

---

9.
DFT (PBE-GGA) results for ZnSn3Os after structural relaxation.

Structure (POSCAR):
```
ZnSn3Os
1.0
-4.147 -0.828 -2.953
0.323 -5.057 0.964
-3.050 0.590 4.118
Zn Os Sn
1 1 3
direct
0.500 0.500 0.500
0.000 0.000 0.000
0.000 0.500 0.000
0.000 0.000 0.500
0.500 0.000 0.000
```

* D(E_F): 0.94 states/eV per atom
* DFT total energy: -22.58 eV for the cell shown

---

10.
DFT (PBE-GGA) results for Sr3ZrP after structural relaxation.

Structure (POSCAR):
```
Sr3ZrP
1.0
-4.177 3.319 2.475
-3.754 -1.552 -4.254
-1.748 -4.601 3.221
Sr Zr P
3 1 1
direct
0.000 0.500 0.000
0.000 0.000 0.500
0.500 0.000 0.000
0.500 0.500 0.500
0.000 0.000 0.000
```

* D(E_F): 1.42 states/eV per atom
* DFT total energy: -18.57 eV for the cell shown

---

11.
DFT (PBE-GGA) results for LaSn after structural relaxation.

Structure (POSCAR):
```
LaSn
1.0
4.816 0.000 -0.001
0.000 7.279 0.000
-2.412 0.000 7.318
Sn La
4 4
direct
0.896 0.044 0.793
0.104 0.956 0.207
0.104 0.544 0.207
0.896 0.456 0.793
0.724 0.750 0.448
0.276 0.250 0.552
0.455 0.750 0.910
0.545 0.250 0.090
```

* D(E_F): 0.82 states/eV per atom
* DFT total energy: -42.23 eV for the cell shown

---

12.
DFT (PBE-GGA) results for MnIrSe2 after structural relaxation.

Structure (POSCAR):
```
MnIrSe2
1.0
-5.936 3.076 -2.326
-6.223 1.783 2.862
7.073 -0.005 0.284
Ir Mn Se
1 1 2
direct
0.750 0.250 0.500
0.250 0.750 0.500
0.879 0.879 0.000
0.621 0.621 0.000
```

* D(E_F): 0.41 states/eV per atom
* DFT total energy: -25.95 eV for the cell shown
* formation energy without anion corrections: -0.24 eV/atom

---

13.
DFT (PBE-GGA) results for La2Nd3Y6Ho after structural relaxation.

Structure (POSCAR):
```
La2Nd3Y6Ho
1.0
-2.205 5.676 -1.571
-0.372 -4.761 -4.092
-9.668 -3.197 6.204
La Nd Y Ho
2 3 6 1
direct
0.334 0.666 0.000
0.666 0.334 0.000
0.167 0.833 0.500
0.833 0.167 0.500
0.500 0.500 0.500
0.917 0.584 0.750
0.751 0.751 0.251
0.083 0.416 0.250
0.584 0.917 0.750
0.249 0.249 0.749
0.416 0.083 0.250
0.000 0.000 0.000
```

* D(E_F): 1.23 states/eV per atom
* DFT total energy: -67.38 eV for the cell shown

---

14.
DFT (PBE-GGA) results for PrY4Ho15 after structural relaxation.

Structure (POSCAR):
```
PrY4Ho15
1.0
-2.154 -3.285 3.113
1.973 -3.784 -2.629
20.358 0.477 14.591
Pr Y Ho
1 4 15
direct
0.000 0.000 0.000
0.000 0.000 0.201
0.000 0.000 0.400
0.000 0.000 0.600
0.000 0.000 0.799
0.500 0.500 0.000
0.500 0.500 0.201
0.500 0.500 0.400
0.500 0.500 0.600
0.500 0.500 0.799
0.500 0.000 0.101
0.500 0.000 0.301
0.500 0.000 0.500
0.500 0.000 0.699
0.500 0.000 0.899
0.000 0.500 0.101
0.000 0.500 0.301
0.000 0.500 0.500
0.000 0.500 0.699
0.000 0.500 0.899
```

* D(E_F): 1.34 states/eV per atom
* DFT total energy: -98.84 eV for the cell shown

---

15.
DFT (PBE-GGA) results for KNa3Hg4F12 after structural relaxation.

Structure (POSCAR):
```
KNa3Hg4F12
1.0
7.569 0.000 0.000
-2.523 7.136 0.000
-2.523 -3.568 6.180
K Na Hg F
1 3 4 12
direct
0.000 0.000 0.000
0.000 0.500 0.500
0.500 0.500 0.000
0.500 0.000 0.500
0.500 0.000 0.000
0.500 0.500 0.500
0.000 0.500 0.000
0.000 0.000 0.500
0.307 0.824 0.131
0.693 0.176 0.869
0.693 0.824 0.516
0.869 0.693 0.176
0.824 0.131 0.307
0.176 0.484 0.307
0.484 0.307 0.176
0.176 0.869 0.693
0.307 0.176 0.484
0.131 0.307 0.824
0.824 0.516 0.693
0.516 0.693 0.824
```

* DFT total energy: -67.73 eV for the cell shown
* formation energy without anion corrections: -1.95 eV/atom

---

16.
DFT (PBE-GGA) results for LaN2O after structural relaxation.

Structure (POSCAR):
```
LaN2O
1.0
-1.384 -1.278 -3.367
-2.583 -3.526 4.610
-4.937 4.190 0.439
La N O
2 4 2
direct
0.644 0.289 0.250
0.356 0.711 0.750
0.664 0.328 0.660
0.336 0.672 0.160
0.336 0.672 0.340
0.664 0.328 0.840
0.065 0.131 0.250
0.935 0.869 0.750
```

* D(E_F): 0.35 states/eV per atom
* DFT total energy: -63.43 eV for the cell shown
* formation energy without anion corrections: -1.29 eV/atom

---

17.
DFT (PBE-GGA) results for Nd2BeGe4Rh3 after structural relaxation.

Structure (POSCAR):
```
Nd2BeGe4Rh3
1.0
-4.138 -0.959 0.049
0.919 -3.893 1.429
-0.661 3.339 9.522
Nd Be Ge Rh
2 1 4 3
direct
0.500 0.000 0.251
0.000 0.500 0.749
0.500 0.500 0.500
0.500 0.500 0.000
0.000 0.000 0.000
0.500 0.000 0.630
0.000 0.500 0.370
0.000 0.000 0.500
0.500 0.000 0.873
0.000 0.500 0.127
```

* D(E_F): 0.69 states/eV per atom
* DFT total energy: -60.91 eV for the cell shown

---

18.
DFT (PBE-GGA) results for SmErTlPb after structural relaxation.

Structure (POSCAR):
```
SmErTlPb
1.0
5.029 0.000 0.000
0.000 5.029 0.002
-2.514 -2.513 4.438
Sm Er Tl Pb
1 1 1 1
direct
0.750 0.250 0.500
0.250 0.750 0.500
0.000 0.000 0.000
0.500 0.500 0.000
```

* D(E_F): 0.81 states/eV per atom
* DFT total energy: -16.95 eV for the cell shown

---

19.
DFT (PBE-GGA) results for ZrTa2Ru after structural relaxation.

Structure (POSCAR):
```
ZrTa2Ru
1.0
3.236 0.000 0.000
0.000 3.236 0.000
0.000 0.000 6.886
Ru Zr Ta
1 1 2
direct
0.500 0.500 0.764
0.000 0.000 0.512
0.000 0.000 0.986
0.500 0.500 0.239
```

* D(E_F): 0.97 states/eV per atom
* DFT total energy: -42.54 eV for the cell shown

---

20.
DFT (PBE-GGA) results for Rb2HgTe2 after structural relaxation.

Structure (POSCAR):
```
Rb2HgTe2
1.0
-5.891 6.498 3.211
-3.438 -6.148 6.134
3.498 1.473 3.437
Te Hg Rb
4 2 4
direct
0.393 0.893 0.000
0.893 0.607 0.000
0.607 0.107 0.000
0.107 0.393 0.000
0.000 0.000 0.000
0.500 0.500 0.000
0.180 0.680 0.500
0.680 0.820 0.500
0.820 0.320 0.500
0.320 0.180 0.500
```

* D(E_F): 0.00 states/eV per atom
* DFT total energy: -23.40 eV for the cell shown
* formation energy without anion corrections: -0.64 eV/atom